VASP calculation (PBE) on ErMgNiPb after structural relaxation. Values from VASP.

## Properties
As for the formation energy from the elements: -15 kJ/mol of atoms. Its crystal system is cubic. As for the electronic total energy: -4.070 eV per atom.

```
&SYSTEM
  ibrav = 0, nat = 4, ntyp = 4
/
ATOMIC_SPECIES
Pb 207.20 Pb.upf
Ni 58.69 Ni.upf
Mg 24.30 Mg.upf
Er 167.26 Er.upf
CELL_PARAMETERS angstrom
4.932 0.000 0.000
2.466 4.271 0.000
2.466 1.424 4.027
ATOMIC_POSITIONS crystal
Pb 0.250 0.250 0.250
Ni 0.750 0.750 0.750
Mg 0.000 0.000 0.000
Er 0.500 0.500 0.500
```